A relaxed structure of U6O11, computed with PBE.

Output
- Calculated total energy: -10.346 eV per atom
- Raw formation energy: -3.154 eV per atom

Unit cell a=6.659 b=6.659 c=6.662 alpha=80.39 beta=80.39 gamma=119.98
Last column: magnetic moment on the atom in μB.
Sites, in units of the cell vectors:
U1 0.834 0.166 0.502  2.21
U2 0.166 0.834 0.502  2.21
U3 0.683 0.330 0.004  2.22
U4 0.984 0.984 0.004  2.23
U5 0.504 0.504 0.485  2.23
U6 0.330 0.683 0.004  2.22
O1 0.547 0.202 0.375  -0.06
O2 0.979 0.296 0.112  -0.06
O3 0.296 0.979 0.112  -0.06
O4 0.202 0.547 0.375  -0.06
O5 0.138 0.138 0.634  -0.06
O6 0.710 0.041 0.874  -0.06
O7 0.771 0.453 0.638  -0.06
O8 0.613 0.613 0.117  -0.06
O9 0.453 0.771 0.638  -0.06
O10 0.041 0.710 0.874  -0.06
O11 0.875 0.875 0.375  -0.06